PrDy2YTm5 | PBE | relaxed

Cell lengths 9.621, 9.621, 9.621 Å; angles 124.88, 124.88, 81.73 degrees
Positions (direct):
Pr (0.250, 0.250, 0.000)
Pr (0.750, 0.750, 0.000)
Dy (0.112, 0.612, 0.725)
Dy (0.388, 0.112, 0.500)
Dy (0.612, 0.888, 0.500)
Dy (0.888, 0.388, 0.275)
Y (0.250, 0.750, 0.500)
Y (0.750, 0.250, 0.500)
Tm (0.000, 0.000, 0.000)
Tm (0.075, 0.163, 0.500)
Tm (0.163, 0.663, 0.089)
Tm (0.337, 0.425, 0.500)
Tm (0.425, 0.925, 0.089)
Tm (0.500, 0.500, 0.000)
Tm (0.575, 0.075, 0.911)
Tm (0.663, 0.575, 0.500)
Tm (0.837, 0.337, 0.911)
Tm (0.925, 0.837, 0.500)

Calculated density in g cm⁻³: 8.06
Calculated total energy in Ry/atom: -0.329
D(E_F) in states/eV/f.u.: 11.046
ΔH_f (0 K) in eV per atom: 0.2849
Symmetry: I4/mcm (140)
Magnetization in μB per atom: 0.00

***

PrDy2Y6Tm | PBE | relaxed

Cell lengths 8.804, 8.804, 9.581 Å; angles 93.76, 93.76, 117.36 degrees
Positions (direct):
Pr (0.026, 0.974, 0.750)
Pr (0.974, 0.026, 0.250)
Dy (0.200, 0.303, 0.549)
Dy (0.303, 0.200, 0.049)
Dy (0.697, 0.800, 0.951)
Dy (0.800, 0.697, 0.451)
Y (0.013, 0.565, 0.684)
Y (0.123, 0.752, 0.057)
Y (0.248, 0.877, 0.443)
Y (0.293, 0.510, 0.884)
Y (0.435, 0.987, 0.816)
Y (0.490, 0.707, 0.616)
Y (0.510, 0.293, 0.384)
Y (0.565, 0.013, 0.184)
Y (0.707, 0.490, 0.116)
Y (0.752, 0.123, 0.557)
Y (0.877, 0.248, 0.943)
Y (0.987, 0.435, 0.316)
Tm (0.410, 0.590, 0.250)
Tm (0.590, 0.410, 0.750)

Calculated density in g cm⁻³: 5.93
Calculated total energy in Ry/atom: -0.412
D(E_F) in states/eV/f.u.: 15.343
ΔH_f (0 K) in eV per atom: 0.1173
Symmetry: C2/c (15)
Magnetization in μB per atom: 0.00

***

PrDy3YTm | PBE | relaxed

Cell lengths 9.559, 3.601, 11.967 Å; angles 90.00, 110.29, 90.00 degrees
Positions (direct):
Pr (0.129, 0.250, 0.129)
Pr (0.871, 0.750, 0.871)
Dy (0.070, 0.250, 0.405)
Dy (0.320, 0.750, 0.652)
Dy (0.434, 0.750, 0.098)
Dy (0.566, 0.250, 0.902)
Dy (0.680, 0.250, 0.348)
Dy (0.930, 0.750, 0.595)
Y (0.183, 0.250, 0.845)
Y (0.817, 0.750, 0.155)
Tm (0.378, 0.750, 0.379)
Tm (0.622, 0.250, 0.621)

Calculated density in g cm⁻³: 7.62
Calculated total energy in Ry/atom: -0.361
D(E_F) in states/eV/f.u.: 8.296
ΔH_f (0 K) in eV per atom: 0.0024
Symmetry: P2_1/m (11)
Magnetization in μB per atom: 0.00

***

Pr2DyY3Tm6 | PBE | relaxed

Cell lengths 6.158, 6.158, 11.734 Å; angles 95.01, 95.01, 119.95 degrees
Positions (direct):
Pr (0.167, 0.833, 0.000)
Pr (0.833, 0.167, 0.000)
Dy (0.500, 0.500, 0.000)
Y (0.000, 0.000, 0.500)
Y (0.334, 0.666, 0.500)
Y (0.666, 0.334, 0.500)
Tm (0.083, 0.415, 0.748)
Tm (0.252, 0.252, 0.252)
Tm (0.415, 0.083, 0.748)
Tm (0.585, 0.917, 0.252)
Tm (0.748, 0.748, 0.748)
Tm (0.917, 0.585, 0.252)

Calculated density in g cm⁻³: 7.55
Calculated total energy in Ry/atom: -0.368
D(E_F) in states/eV/f.u.: 16.813
ΔH_f (0 K) in eV per atom: 0.0261
Symmetry: C2/m (12)
Magnetization in μB per atom: 0.00

***

PrDy3Y2Tm6 | PBE | relaxed

Cell lengths 6.120, 6.120, 11.700 Å; angles 94.99, 94.99, 119.95 degrees
Positions (direct):
Pr (0.000, 0.000, 0.000)
Dy (0.167, 0.833, 0.500)
Dy (0.500, 0.500, 0.500)
Dy (0.833, 0.167, 0.500)
Y (0.333, 0.667, 0.000)
Y (0.667, 0.333, 0.000)
Tm (0.085, 0.418, 0.253)
Tm (0.249, 0.249, 0.748)
Tm (0.418, 0.085, 0.253)
Tm (0.582, 0.915, 0.747)
Tm (0.751, 0.751, 0.252)
Tm (0.915, 0.582, 0.747)

Calculated density in g cm⁻³: 8.08
Calculated total energy in Ry/atom: -0.356
D(E_F) in states/eV/f.u.: 16.239
ΔH_f (0 K) in eV per atom: 0.0246
Symmetry: C2/m (12)
Magnetization in μB per atom: 0.00

***

Pr6Dy2Y3Tm | PBE | relaxed

Cell lengths 6.313, 6.313, 11.893 Å; angles 95.07, 95.07, 120.00 degrees
Positions (direct):
Pr (0.084, 0.417, 0.752)
Pr (0.250, 0.250, 0.249)
Pr (0.417, 0.084, 0.752)
Pr (0.583, 0.916, 0.248)
Pr (0.750, 0.750, 0.751)
Pr (0.916, 0.583, 0.248)
Dy (0.167, 0.833, 0.000)
Dy (0.833, 0.167, 0.000)
Y (0.000, 0.000, 0.500)
Y (0.333, 0.667, 0.500)
Y (0.667, 0.333, 0.500)
Tm (0.500, 0.500, 0.000)

Calculated density in g cm⁻³: 6.60
Calculated total energy in Ry/atom: -0.377
D(E_F) in states/eV/f.u.: 13.322
ΔH_f (0 K) in eV per atom: 0.0096
Symmetry: C2/m (12)
Magnetization in μB per atom: 0.00

***

Pr4DyY2Tm2 | PBE | relaxed

Cell lengths 8.093, 8.093, 8.071 Å; angles 107.39, 107.39, 36.83 degrees
Positions (direct):
Pr (0.054, 0.054, 0.329)
Pr (0.278, 0.278, 0.670)
Pr (0.722, 0.722, 0.330)
Pr (0.946, 0.946, 0.671)
Dy (0.500, 0.500, 0.000)
Y (0.388, 0.388, 0.329)
Y (0.612, 0.612, 0.671)
Tm (0.168, 0.168, 0.000)
Tm (0.832, 0.832, 0.000)

Calculated density in g cm⁻³: 6.86
Calculated total energy in Ry/atom: -0.371
D(E_F) in states/eV/f.u.: 13.959
ΔH_f (0 K) in eV per atom: 0.0241
Symmetry: C2/m (12)
Magnetization in μB per atom: 0.00

***

PrDy5YTm2 | PBE | relaxed

Cell lengths 10.344, 10.344, 10.592 Å; angles 90.00, 90.00, 148.62 degrees
Positions (direct):
Pr (0.202, 0.798, 0.500)
Pr (0.798, 0.202, 0.000)
Dy (0.017, 0.983, 0.515)
Dy (0.281, 0.719, 0.794)
Dy (0.300, 0.700, 0.196)
Dy (0.394, 0.606, 0.513)
Dy (0.478, 0.522, 0.226)
Dy (0.522, 0.478, 0.726)
Dy (0.606, 0.394, 0.013)
Dy (0.700, 0.300, 0.696)
Dy (0.719, 0.281, 0.294)
Dy (0.983, 0.017, 0.015)
Y (0.414, 0.586, 0.941)
Y (0.586, 0.414, 0.441)
Tm (0.109, 0.891, 0.226)
Tm (0.113, 0.887, 0.807)
Tm (0.887, 0.113, 0.307)
Tm (0.891, 0.109, 0.726)

Calculated density in g cm⁻³: 7.77
Calculated total energy in Ry/atom: -0.341
D(E_F) in states/eV/f.u.: 14.033
ΔH_f (0 K) in eV per atom: 0.1635
Symmetry: Cmc2_1 (36)
Magnetization in μB per atom: 0.00

***

Pr2DyY2Tm4 | PBE | relaxed

Cell lengths 9.496, 9.496, 9.546 Å; angles 115.25, 115.25, 21.82 degrees
Positions (direct):
Pr (0.165, 0.165, 0.002)
Pr (0.835, 0.835, 0.998)
Dy (0.500, 0.500, 0.000)
Y (0.354, 0.354, 0.339)
Y (0.646, 0.646, 0.661)
Tm (0.020, 0.020, 0.335)
Tm (0.315, 0.315, 0.662)
Tm (0.685, 0.685, 0.338)
Tm (0.980, 0.980, 0.665)

Calculated density in g cm⁻³: 7.48
Calculated total energy in Ry/atom: -0.367
D(E_F) in states/eV/f.u.: 12.653
ΔH_f (0 K) in eV per atom: -0.0006
Symmetry: C2/m (12)
Magnetization in μB per atom: 0.00

***

PrDyYTm | PBE | relaxed

Cell lengths 8.070, 8.070, 8.070 Å; angles 90.00, 90.00, 90.00 degrees
Positions (direct):
Pr (0.000, 0.000, 0.000)
Pr (0.000, 0.500, 0.500)
Pr (0.500, 0.000, 0.500)
Pr (0.500, 0.500, 0.000)
Dy (0.000, 0.000, 0.500)
Dy (0.000, 0.500, 0.000)
Dy (0.500, 0.000, 0.000)
Dy (0.500, 0.500, 0.500)
Y (0.250, 0.250, 0.250)
Y (0.250, 0.750, 0.750)
Y (0.750, 0.250, 0.750)
Y (0.750, 0.750, 0.250)
Tm (0.250, 0.250, 0.750)
Tm (0.250, 0.750, 0.250)
Tm (0.750, 0.250, 0.250)
Tm (0.750, 0.750, 0.750)

Calculated density in g cm⁻³: 7.09
Calculated total energy in Ry/atom: -0.365
D(E_F) in states/eV/f.u.: 6.838
ΔH_f (0 K) in eV per atom: 0.1147
Symmetry: F-43m (216)
Magnetization in μB per atom: 0.00

***

PrDy6YTm2 | PBE | relaxed

Cell lengths 8.782, 8.782, 9.492 Å; angles 93.30, 93.30, 117.55 degrees
Positions (direct):
Pr (0.028, 0.972, 0.750)
Pr (0.972, 0.028, 0.250)
Dy (0.017, 0.562, 0.681)
Dy (0.121, 0.753, 0.056)
Dy (0.247, 0.879, 0.444)
Dy (0.292, 0.512, 0.882)
Dy (0.438, 0.983, 0.819)
Dy (0.488, 0.708, 0.618)
Dy (0.512, 0.292, 0.382)
Dy (0.562, 0.017, 0.181)
Dy (0.708, 0.488, 0.118)
Dy (0.753, 0.121, 0.556)
Dy (0.879, 0.247, 0.944)
Dy (0.983, 0.438, 0.319)
Y (0.410, 0.590, 0.250)
Y (0.590, 0.410, 0.750)
Tm (0.200, 0.305, 0.548)
Tm (0.305, 0.200, 0.048)
Tm (0.695, 0.800, 0.952)
Tm (0.800, 0.695, 0.452)

Calculated density in g cm⁻³: 7.94
Calculated total energy in Ry/atom: -0.343
D(E_F) in states/eV/f.u.: 15.066
ΔH_f (0 K) in eV per atom: 0.1191
Symmetry: C2/c (15)
Magnetization in μB per atom: 0.00

***

Pr4Dy2YTm2 | PBE | relaxed

Cell lengths 8.091, 8.091, 8.067 Å; angles 107.46, 107.46, 36.78 degrees
Positions (direct):
Pr (0.054, 0.054, 0.331)
Pr (0.277, 0.277, 0.669)
Pr (0.723, 0.723, 0.331)
Pr (0.946, 0.946, 0.669)
Dy (0.388, 0.388, 0.330)
Dy (0.612, 0.612, 0.670)
Y (0.500, 0.500, 0.000)
Tm (0.168, 0.168, 0.999)
Tm (0.832, 0.832, 0.001)

Calculated density in g cm⁻³: 7.28
Calculated total energy in Ry/atom: -0.355
D(E_F) in states/eV/f.u.: 14.134
ΔH_f (0 K) in eV per atom: 0.0251
Symmetry: C2/m (12)
Magnetization in μB per atom: 0.00

***

Pr3DyYTm | PBE | relaxed

Cell lengths 8.114, 8.114, 10.249 Å; angles 90.00, 90.00, 143.12 degrees
Positions (direct):
Pr (0.164, 0.836, 0.000)
Pr (0.164, 0.836, 0.500)
Pr (0.335, 0.665, 0.750)
Pr (0.665, 0.335, 0.250)
Pr (0.836, 0.164, 0.000)
Pr (0.836, 0.164, 0.500)
Dy (0.500, 0.500, 0.000)
Dy (0.500, 0.500, 0.500)
Y (0.336, 0.664, 0.250)
Y (0.664, 0.336, 0.750)
Tm (0.001, 0.999, 0.750)
Tm (0.999, 0.001, 0.250)

Calculated density in g cm⁻³: 6.91
Calculated total energy in Ry/atom: -0.364
D(E_F) in states/eV/f.u.: 9.096
ΔH_f (0 K) in eV per atom: 0.0234
Symmetry: Cmcm (63)
Magnetization in μB per atom: 0.00

***

Pr6Dy3YTm2 | PBE | relaxed

Cell lengths 6.299, 6.299, 11.858 Å; angles 95.07, 95.07, 119.98 degrees
Positions (direct):
Pr (0.082, 0.417, 0.751)
Pr (0.249, 0.249, 0.249)
Pr (0.417, 0.082, 0.751)
Pr (0.583, 0.918, 0.249)
Pr (0.751, 0.751, 0.751)
Pr (0.918, 0.583, 0.249)
Dy (0.000, 0.000, 0.500)
Dy (0.333, 0.667, 0.500)
Dy (0.667, 0.333, 0.500)
Y (0.500, 0.500, 0.000)
Tm (0.167, 0.833, 0.000)
Tm (0.833, 0.167, 0.000)

Calculated density in g cm⁻³: 7.28
Calculated total energy in Ry/atom: -0.354
D(E_F) in states/eV/f.u.: 12.817
ΔH_f (0 K) in eV per atom: 0.0123
Symmetry: C2/m (12)
Magnetization in μB per atom: 0.00

***

PrDy2Y6Tm3 | PBE | relaxed

Cell lengths 6.160, 6.160, 11.794 Å; angles 94.98, 94.98, 119.94 degrees
Positions (direct):
Pr (0.000, 0.000, 0.000)
Dy (0.333, 0.667, 0.000)
Dy (0.667, 0.333, 0.000)
Y (0.085, 0.419, 0.253)
Y (0.249, 0.249, 0.747)
Y (0.419, 0.085, 0.253)
Y (0.581, 0.915, 0.747)
Y (0.751, 0.751, 0.253)
Y (0.915, 0.581, 0.747)
Tm (0.167, 0.833, 0.500)
Tm (0.500, 0.500, 0.500)
Tm (0.833, 0.167, 0.500)

Calculated density in g cm⁻³: 6.55
Calculated total energy in Ry/atom: -0.404
D(E_F) in states/eV/f.u.: 17.527
ΔH_f (0 K) in eV per atom: 0.0246
Symmetry: C2/m (12)
Magnetization in μB per atom: 0.00

***

PrDy6Y3Tm2 | PBE | relaxed

Cell lengths 6.152, 6.152, 11.792 Å; angles 94.96, 94.96, 119.95 degrees
Positions (direct):
Pr (0.000, 0.000, 0.000)
Dy (0.084, 0.418, 0.250)
Dy (0.251, 0.251, 0.750)
Dy (0.418, 0.084, 0.250)
Dy (0.582, 0.916, 0.750)
Dy (0.749, 0.749, 0.250)
Dy (0.916, 0.582, 0.750)
Y (0.167, 0.833, 0.500)
Y (0.500, 0.500, 0.500)
Y (0.833, 0.167, 0.500)
Tm (0.333, 0.667, 0.000)
Tm (0.667, 0.333, 0.000)

Calculated density in g cm⁻³: 7.50
Calculated total energy in Ry/atom: -0.370
D(E_F) in states/eV/f.u.: 16.101
ΔH_f (0 K) in eV per atom: 0.0208
Symmetry: C2/m (12)
Magnetization in μB per atom: 0.00

***

PrDy2Y3Tm6 | PBE | relaxed

Cell lengths 6.125, 6.125, 11.707 Å; angles 95.00, 95.00, 119.94 degrees
Positions (direct):
Pr (0.000, 0.000, 0.000)
Dy (0.333, 0.667, 0.000)
Dy (0.667, 0.333, 0.000)
Y (0.167, 0.833, 0.500)
Y (0.500, 0.500, 0.500)
Y (0.833, 0.167, 0.500)
Tm (0.084, 0.418, 0.251)
Tm (0.250, 0.250, 0.750)
Tm (0.418, 0.084, 0.251)
Tm (0.582, 0.916, 0.749)
Tm (0.750, 0.750, 0.250)
Tm (0.916, 0.582, 0.749)

Calculated density in g cm⁻³: 7.74
Calculated total energy in Ry/atom: -0.367
D(E_F) in states/eV/f.u.: 16.944
ΔH_f (0 K) in eV per atom: 0.0261
Symmetry: C2/m (12)
Magnetization in μB per atom: 0.00

***

PrDy2YTm2 | PBE | relaxed

Cell lengths 6.938, 9.785, 5.614 Å; angles 90.00, 90.00, 90.00 degrees
Positions (direct):
Pr (0.000, 0.000, 0.000)
Pr (0.500, 0.500, 0.500)
Dy (0.249, 0.333, 0.000)
Dy (0.251, 0.833, 0.500)
Dy (0.749, 0.167, 0.500)
Dy (0.751, 0.667, 0.000)
Y (0.000, 0.500, 0.500)
Y (0.500, 0.000, 0.000)
Tm (0.249, 0.667, 0.000)
Tm (0.251, 0.167, 0.500)
Tm (0.749, 0.833, 0.500)
Tm (0.751, 0.333, 0.000)

Calculated density in g cm⁻³: 7.78
Calculated total energy in Ry/atom: -0.355
D(E_F) in states/eV/f.u.: 9.309
ΔH_f (0 K) in eV per atom: 0.0711
Symmetry: Pnnm (58)
Magnetization in μB per atom: 0.00

***

Pr3Dy2Y6Tm | PBE | relaxed

Cell lengths 6.235, 6.235, 11.877 Å; angles 95.01, 95.01, 119.97 degrees
Positions (direct):
Pr (0.000, 0.000, 0.000)
Pr (0.333, 0.667, 0.000)
Pr (0.667, 0.333, 0.000)
Dy (0.167, 0.833, 0.500)
Dy (0.833, 0.167, 0.500)
Y (0.085, 0.418, 0.255)
Y (0.249, 0.249, 0.746)
Y (0.418, 0.085, 0.255)
Y (0.582, 0.915, 0.745)
Y (0.751, 0.751, 0.254)
Y (0.915, 0.582, 0.745)
Tm (0.500, 0.500, 0.500)

Calculated density in g cm⁻³: 6.11
Calculated total energy in Ry/atom: -0.408
D(E_F) in states/eV/f.u.: 17.037
ΔH_f (0 K) in eV per atom: 0.0201
Symmetry: C2/m (12)
Magnetization in μB per atom: 0.00

***

PrDy5Y2Tm | PBE | relaxed

Cell lengths 10.288, 10.288, 10.567 Å; angles 90.00, 90.00, 148.23 degrees
Positions (direct):
Pr (0.084, 0.916, 0.500)
Pr (0.916, 0.084, 0.000)
Dy (0.021, 0.979, 0.784)
Dy (0.113, 0.887, 0.068)
Dy (0.202, 0.798, 0.754)
Dy (0.218, 0.782, 0.359)
Dy (0.481, 0.519, 0.070)
Dy (0.519, 0.481, 0.570)
Dy (0.782, 0.218, 0.859)
Dy (0.798, 0.202, 0.254)
Dy (0.887, 0.113, 0.568)
Dy (0.979, 0.021, 0.284)
Y (0.386, 0.614, 0.365)
Y (0.389, 0.611, 0.779)
Y (0.611, 0.389, 0.279)
Y (0.614, 0.386, 0.865)
Tm (0.299, 0.701, 0.058)
Tm (0.701, 0.299, 0.558)

Calculated density in g cm⁻³: 7.33
Calculated total energy in Ry/atom: -0.357
D(E_F) in states/eV/f.u.: 14.943
ΔH_f (0 K) in eV per atom: 0.1582
Symmetry: Cmc2_1 (36)
Magnetization in μB per atom: 0.00